## BP (PBE)

Data for a relaxed structure of BP.

Summary:
- energy (eV/atom) = -6.160

a = 7.8376 Å, b = 7.8376 Å, c = 3.2432 Å
α = 90.00°, β = 90.00°, γ = 120.00°
Space group P6_3/m (No. 176)
Inequivalent atoms, fractional coordinates:
B  0.0814  0.4110  0.2500
P  0.0828  0.6718  0.2500


## BeHgSb2 (PBE)

Data for a relaxed structure of BeHgSb2.

Summary:
- energy (eV/atom) = -2.613
- distance to the lowest polymorph of the same formula (kJ/mol of formula units) = 103
- energy relative to the elements, uncorrected (eV/f.u.) = 1.820

a = 3.094 Å, b = 3.094 Å, c = 9.521 Å
α = 90.00°, β = 90.00°, γ = 90.00°
Space group P4mm (No. 99)
Inequivalent atoms, fractional coordinates:
Be  0.000  0.000  0.000
Hg  0.500  0.500  0.169
Sb  0.000  0.000  0.473
Sb  0.500  0.500  0.801


## Ac2Zn3SnRh4 (PBE)

Data for a relaxed structure of Ac2Zn3SnRh4.

Summary:
- energy (eV/atom) = -5.116

a = 4.493 Å, b = 4.493 Å, c = 10.289 Å
α = 90.00°, β = 90.00°, γ = 90.00°
Space group P-4m2 (No. 115)
Inequivalent atoms, fractional coordinates:
Ac  0.000  0.500  0.224
Zn  0.000  0.500  0.881
Zn  0.500  0.500  0.500
Sn  0.000  0.000  0.500
Rh  0.000  0.000  0.000
Rh  0.000  0.500  0.633
Rh  0.500  0.500  0.000


## Ta4TiNb2 (PBE)

Data for a relaxed structure of Ta4TiNb2.

Summary:
- energy (eV/atom) = -10.333
- distance to the lowest polymorph of the same formula (kJ/mol of formula units) = 242

a = 6.754 Å, b = 6.754 Å, c = 5.966 Å
α = 90.00°, β = 90.00°, γ = 90.00°
Space group I4/mmm (No. 139)
Inequivalent atoms, fractional coordinates:
Ta  0.204  0.204  0.000
Ti  0.000  0.000  0.500
Nb  0.000  0.500  0.250


## Cu6NiPd3 (PBE)

Data for a relaxed structure of Cu6NiPd3.

Summary:
- energy (eV/atom) = -4.660
- distance to the lowest polymorph of the same formula (kJ/mol of formula units) = 0

a = 7.110 Å, b = 4.231 Å, c = 9.081 Å
α = 90.00°, β = 108.71°, γ = 90.00°
Space group P2_1/m (No. 11)
Inequivalent atoms, fractional coordinates:
Cu  0.045  0.250  0.416
Cu  0.179  0.750  0.190
Cu  0.261  0.250  0.030
Cu  0.342  0.250  0.326
Cu  0.376  0.750  0.794
Cu  0.453  0.250  0.633
Ni  0.461  0.750  0.078
Pd  0.056  0.750  0.892
Pd  0.146  0.250  0.721
Pd  0.266  0.750  0.492


## SrHf2Co2 (PBE)

Data for a relaxed structure of SrHf2Co2.

Summary:
- energy (eV/atom) = -6.944
- distance to the lowest polymorph of the same formula (kJ/mol of formula units) = 131

a = 4.612 Å, b = 4.612 Å, c = 10.516 Å
α = 90.00°, β = 90.00°, γ = 90.00°
Space group I4/mmm (No. 139)
Inequivalent atoms, fractional coordinates:
Sr  0.000  0.000  0.000
Hf  0.000  0.000  0.340
Co  0.000  0.500  0.250


## Ba2TaRh (PBE)

Data for a relaxed structure of Ba2TaRh.

Summary:
- energy (eV/atom) = -4.767
- distance to the lowest polymorph of the same formula (kJ/mol of formula units) = 306

a = 4.465 Å, b = 4.465 Å, c = 10.697 Å
α = 90.00°, β = 90.00°, γ = 90.00°
Space group I4/mmm (No. 139)
Inequivalent atoms, fractional coordinates:
Ba  0.000  0.500  0.250
Ta  0.000  0.000  0.000
Rh  0.000  0.000  0.500


## TbPm4DyEr2 (PBE)

Data for a relaxed structure of TbPm4DyEr2.

Summary:
- energy (eV/atom) = -4.654

a = 5.084 Å, b = 5.100 Å, c = 10.069 Å
α = 90.00°, β = 90.00°, γ = 90.00°
Space group Pmmm (No. 47)
Inequivalent atoms, fractional coordinates:
Tb  0.000  0.000  0.000
Pm  0.000  0.500  0.250
Pm  0.500  0.000  0.251
Dy  0.500  0.500  0.500
Er  0.000  0.000  0.500
Er  0.500  0.500  0.000


## RbAc2HgO4 (PBE)

Data for a relaxed structure of RbAc2HgO4.

Summary:
- energy (eV/atom) = -5.810
- energy relative to the elements, uncorrected (eV/f.u.) = -17.160

a = 3.903 Å, b = 12.957 Å, c = 13.938 Å
α = 90.00°, β = 90.00°, γ = 90.00°
Space group Cmcm (No. 63)
Inequivalent atoms, fractional coordinates:
Rb  0.000  0.082  0.250
Ac  0.000  0.368  0.057
Hg  0.000  0.190  0.750
O  0.000  0.000  0.000
O  0.000  0.250  0.579
O  0.000  0.422  0.250


## Mg5Pd4Pt (PBE)

Data for a relaxed structure of Mg5Pd4Pt.

Summary:
- energy (eV/atom) = -4.241

a = 3.252 Å, b = 3.252 Å, c = 15.198 Å
α = 90.00°, β = 90.00°, γ = 90.00°
Space group P4/mmm (No. 123)
Inequivalent atoms, fractional coordinates:
Mg  0.000  0.000  0.000
Mg  0.000  0.000  0.201
Mg  0.000  0.000  0.402
Pd  0.500  0.500  0.100
Pd  0.500  0.500  0.301
Pt  0.500  0.500  0.500


## PmNpPaSb (PBE)

Data for a relaxed structure of PmNpPaSb.

Summary:
- energy (eV/atom) = -7.746
- energy relative to the elements, uncorrected (eV/f.u.) = 0.324

a = 7.488 Å, b = 7.488 Å, c = 7.488 Å
α = 90.00°, β = 90.00°, γ = 90.00°
Space group F-43m (No. 216)
Inequivalent atoms, fractional coordinates:
Pm  0.000  0.000  0.000
Np  0.250  0.250  0.750
Pa  0.000  0.000  0.500
Sb  0.250  0.250  0.250


## Y5TlRu (PBE)

Data for a relaxed structure of Y5TlRu.

Summary:
- energy (eV/atom) = -6.418

a = 9.401 Å, b = 7.470 Å, c = 11.871 Å
α = 90.00°, β = 106.69°, γ = 90.00°
Space group C2/c (No. 15)
Inequivalent atoms, fractional coordinates:
Y  0.000  0.001  0.250
Y  0.123  0.329  0.062
Y  0.248  0.167  0.624
Tl  0.000  0.409  0.750
Ru  0.000  0.000  0.000


## Ca3ZrCo (PBE)

Data for a relaxed structure of Ca3ZrCo.

Summary:
- energy (eV/atom) = -3.696
- distance to the lowest polymorph of the same formula (kJ/mol of formula units) = 0

a = 5.309 Å, b = 5.309 Å, c = 5.309 Å
α = 90.00°, β = 90.00°, γ = 90.00°
Space group Pm-3m (No. 221)
Inequivalent atoms, fractional coordinates:
Ca  0.000  0.000  0.500
Zr  0.500  0.500  0.500
Co  0.000  0.000  0.000


## Ho4TmMg2 (PBE)

Data for a relaxed structure of Ho4TmMg2.

Summary:
- energy (eV/atom) = -3.642
- distance to the lowest polymorph of the same formula (kJ/mol of formula units) = 54

a = 5.4074 Å, b = 5.4074 Å, c = 23.9452 Å
α = 90.00°, β = 90.00°, γ = 120.00°
Space group R-3m (No. 166, hexagonal axes)
Inequivalent atoms, fractional coordinates:
Ho  0.0000  0.0000  0.0686
Ho  0.0000  0.0000  0.2071
Tm  0.0000  0.0000  0.5000
Mg  0.0000  0.0000  0.3513


## ZnAgS2N (PBE)

Data for a relaxed structure of ZnAgS2N.

Summary:
- energy (eV/atom) = -2.899
- distance to the lowest polymorph of the same formula (kJ/mol of formula units) = 120
- energy relative to the elements, uncorrected (eV/f.u.) = 6.208

a = 4.967 Å, b = 4.967 Å, c = 3.980 Å
α = 90.00°, β = 90.00°, γ = 90.00°
Space group P4/mmm (No. 123)
Inequivalent atoms, fractional coordinates:
Zn  0.000  0.000  0.000
Ag  0.500  0.500  0.500
S  0.000  0.500  0.500
N  0.500  0.500  0.000


## Hf2ReB6 (PBE)

Data for a relaxed structure of Hf2ReB6.

Summary:
- energy (eV/atom) = -8.676

a = 5.3277 Å, b = 5.3277 Å, c = 3.4823 Å
α = 90.00°, β = 90.00°, γ = 120.00°
Space group P6/mmm (No. 191)
Inequivalent atoms, fractional coordinates:
Hf  0.3333  0.6667  0.0000
Re  0.0000  0.0000  0.0000
B  0.0000  0.3297  0.5000


## K3ZnRe2O8 (PBE)

Data for a relaxed structure of K3ZnRe2O8.

Summary:
- energy (eV/atom) = -6.443
- energy relative to the elements, uncorrected (eV/f.u.) = -21.071

a = 5.8696 Å, b = 5.8696 Å, c = 7.6926 Å
α = 90.00°, β = 90.00°, γ = 120.00°
Space group P-3m1 (No. 164)
Inequivalent atoms, fractional coordinates:
K  0.0000  0.0000  0.0000
K  0.3333  0.6667  0.6576
Zn  0.0000  0.0000  0.5000
Re  0.3333  0.6667  0.2273
O  0.1671  0.3343  0.3261
O  0.3333  0.6667  0.9955


## RbPr2CuSe4 (PBE)

Data for a relaxed structure of RbPr2CuSe4.

Summary:
- energy (eV/atom) = -5.076
- energy relative to the elements, uncorrected (eV/f.u.) = -12.046

a = 4.273 Å, b = 14.804 Å, c = 14.756 Å
α = 90.00°, β = 90.00°, γ = 90.00°
Space group Cmcm (No. 63)
Inequivalent atoms, fractional coordinates:
Rb  0.000  0.108  0.250
Pr  0.000  0.365  0.062
Cu  0.000  0.161  0.750
Se  0.000  0.000  0.000
Se  0.000  0.262  0.615
Se  0.000  0.430  0.250


## Cd2AsRu (PBE)

Data for a relaxed structure of Cd2AsRu.

Summary:
- energy (eV/atom) = -3.975

a = 3.055 Å, b = 3.055 Å, c = 8.374 Å
α = 90.00°, β = 90.00°, γ = 90.00°
Space group P4mm (No. 99)
Inequivalent atoms, fractional coordinates:
Cd  0.000  0.000  0.000
Cd  0.500  0.500  0.291
As  0.500  0.500  0.681
Ru  0.000  0.000  0.527


## Tb3Hg2Pb2 (PBE)

Data for a relaxed structure of Tb3Hg2Pb2.

Summary:
- energy (eV/atom) = -3.561

a = 11.712 Å, b = 4.670 Å, c = 7.411 Å
α = 90.00°, β = 105.62°, γ = 90.00°
Space group C2/m (No. 12)
Inequivalent atoms, fractional coordinates:
Tb  0.000  0.000  0.000
Tb  0.155  0.000  0.636
Hg  0.176  0.500  0.955
Pb  0.068  0.500  0.330


## GaHgRuS (PBE)

Data for a relaxed structure of GaHgRuS.

Summary:
- energy (eV/atom) = -4.325
- distance to the lowest polymorph of the same formula (kJ/mol of formula units) = 1
- energy relative to the elements, uncorrected (eV/f.u.) = -0.568

a = 3.3230 Å, b = 3.3230 Å, c = 8.0752 Å
α = 90.00°, β = 90.00°, γ = 120.00°
Space group P3m1 (No. 156)
Inequivalent atoms, fractional coordinates:
Ga  0.0000  0.0000  0.0000
Hg  0.3333  0.6667  0.7349
Ru  0.6667  0.3333  0.2422
S  0.3333  0.6667  0.3897


## In8Ga2Bi (PBE)

Data for a relaxed structure of In8Ga2Bi.

Summary:
- energy (eV/atom) = -2.846

a = 16.592 Å, b = 6.355 Å, c = 5.671 Å
α = 90.00°, β = 101.44°, γ = 90.00°
Space group C2/m (No. 12)
Inequivalent atoms, fractional coordinates:
In  0.095  0.000  0.020
In  0.097  0.251  0.535
In  0.208  0.500  0.078
Ga  0.246  0.000  0.400
Bi  0.000  0.500  0.000


## Nd6CdFe2 (PBE)

Data for a relaxed structure of Nd6CdFe2.

Summary:
- energy (eV/atom) = -5.182

a = 9.754 Å, b = 10.085 Å, c = 10.311 Å
α = 90.00°, β = 90.00°, γ = 90.00°
Space group Immm (No. 71)
Inequivalent atoms, fractional coordinates:
Nd  0.000  0.214  0.223
Nd  0.205  0.500  0.188
Nd  0.209  0.313  0.500
Cd  0.000  0.000  0.000
Cd  0.000  0.000  0.500
Fe  0.000  0.390  0.000
Fe  0.000  0.500  0.394


| no. | total magnetization (Bohr magnetons per cell) |
| --- | --- |
| 1 | 0.00 |
| 2 | 0.00 |
| 3 | 0.00 |
| 4 | 0.00 |
| 5 | 0.00 |
| 6 | 0.73 |
| 7 | 1.08 |
| 8 | 0.00 |
| 9 | 0.00 |
| 10 | 0.00 |
| 11 | 26.46 |
| 12 | 0.00 |
| 13 | 0.86 |
| 14 | 0.00 |
| 15 | 1.84 |
| 16 | 0.00 |
| 17 | 3.01 |
| 18 | 0.00 |
| 19 | 0.00 |
| 20 | 0.00 |
| 21 | 0.00 |
| 22 | 0.00 |
| 23 | 8.27 |